(1)
Ac2TmNpS6: optimized geometry, GGA-PBE.

For the formation energy (no corrections), the calculation gives -1.89 eV/atom. For the total DFT energy (no corrections), the calculation gives -6.930 eV/atom.

Cell and atoms, written as CIF:
```
data_Ac2TmNpS6
_space_group_name_H-M_alt 'R 3'
_space_group_IT_number 146
_space_group_name_Hall 'R 3'
_cell_length_a 7.2749
_cell_length_b 7.2749
_cell_length_c 18.5956
_cell_angle_alpha 90.00
_cell_angle_beta 90.00
_cell_angle_gamma 120.00
loop_
_atom_site_label
_atom_site_type_symbol
_atom_site_fract_x
_atom_site_fract_y
_atom_site_fract_z
Ac1 Ac 0.0000 0.0000 0.0000
Ac2 Ac 0.0000 0.0000 0.4979
Tm1 Tm 0.0000 0.0000 0.7118
Np1 Np 0.0000 0.0000 0.2127
S1 S 0.0643 0.3487 0.7826
S2 S 0.0681 0.7085 0.2841
```

***

(2)
K2TeSe2: optimized geometry, GGA-PBE.

For the formation energy (no corrections), the calculation gives -0.66 eV/atom. Its energy above the most stable polymorph in this dataset is 68 meV/atom. For the total DFT energy (no corrections), the calculation gives -3.123 eV/atom.

Cell and atoms, written as CIF:
```
data_K2TeSe2
_space_group_name_H-M_alt 'I 4/m m m'
_space_group_IT_number 139
_space_group_name_Hall '-I 4 2'
_cell_length_a 6.563
_cell_length_b 6.563
_cell_length_c 8.178
_cell_angle_alpha 90.00
_cell_angle_beta 90.00
_cell_angle_gamma 90.00
loop_
_atom_site_label
_atom_site_type_symbol
_atom_site_fract_x
_atom_site_fract_y
_atom_site_fract_z
K1 K 0.000 0.500 0.250
Te1 Te 0.000 0.000 0.000
Se1 Se 0.000 0.000 0.341
```

***

(3)
NdSmAgRu: optimized geometry, GGA-PBE.

As for the formation enthalpy at 0 K: -0.27 eV/atom. Its energy above the most stable polymorph in this dataset is 0 meV/atom. For the total DFT energy (no corrections), the calculation gives -5.678 eV/atom.

Cell and atoms, written as CIF:
```
data_NdSmAgRu
_space_group_name_H-M_alt 'P 4 m m'
_space_group_IT_number 99
_cell_length_a 3.509
_cell_length_b 3.509
_cell_length_c 7.717
_cell_angle_alpha 90.00
_cell_angle_beta 90.00
_cell_angle_gamma 90.00
loop_
_space_group_symop_operation_xyz
'x,y,z'
'-y,x,z'
'-x,-y,z'
'y,-x,z'
'-x,y,z'
'y,x,z'
'x,-y,z'
'-y,-x,z'
loop_
_atom_site_label
_atom_site_type_symbol
_atom_site_fract_x
_atom_site_fract_y
_atom_site_fract_z
Nd1 Nd 0.000 0.000 0.000
Sm1 Sm 0.000 0.000 0.553
Ag1 Ag 0.500 0.500 0.283
Ru1 Ru 0.500 0.500 0.772
```

***

(4)
CsMnHg2: optimized geometry, GGA-PBE.

As for the formation enthalpy at 0 K: 0.44 eV/atom. For the total DFT energy (no corrections), the calculation gives -2.219 eV/atom.

Cell and atoms, written as CIF:
```
data_CsMnHg2
_space_group_name_H-M_alt 'F m -3 m'
_space_group_IT_number 225
_space_group_name_Hall '-F 4 2 3'
_cell_length_a 8.097
_cell_length_b 8.097
_cell_length_c 8.097
_cell_angle_alpha 90.00
_cell_angle_beta 90.00
_cell_angle_gamma 90.00
loop_
_atom_site_label
_atom_site_type_symbol
_atom_site_fract_x
_atom_site_fract_y
_atom_site_fract_z
Cs1 Cs 0.000 0.000 0.000
Mn1 Mn 0.000 0.000 0.500
Hg1 Hg 0.250 0.250 0.250
```

***

(5)
SrIn12Ag4: optimized geometry, GGA-PBE.

As for the formation enthalpy at 0 K: 0.02 eV/atom. For the total DFT energy (no corrections), the calculation gives -2.684 eV/atom.

Cell and atoms, written as CIF:
```
data_SrIn12Ag4
_space_group_name_H-M_alt 'I m -3'
_space_group_IT_number 204
_space_group_name_Hall '-I 2 2 3'
_cell_length_a 9.838
_cell_length_b 9.838
_cell_length_c 9.838
_cell_angle_alpha 90.00
_cell_angle_beta 90.00
_cell_angle_gamma 90.00
loop_
_atom_site_label
_atom_site_type_symbol
_atom_site_fract_x
_atom_site_fract_y
_atom_site_fract_z
Sr1 Sr 0.000 0.000 0.000
In1 In 0.000 0.155 0.347
Ag1 Ag 0.250 0.250 0.250
```

***

(6)
Cs2K: optimized geometry, GGA-PBE.

As for the formation enthalpy at 0 K: 0.01 eV/atom. Its energy above the most stable polymorph in this dataset is 3 meV/atom. For the total DFT energy (no corrections), the calculation gives -0.927 eV/atom.

Cell and atoms, written as CIF:
```
data_Cs2K
_space_group_name_H-M_alt 'P b c n'
_space_group_IT_number 60
_cell_length_a 11.617
_cell_length_b 11.530
_cell_length_c 9.172
_cell_angle_alpha 90.00
_cell_angle_beta 90.00
_cell_angle_gamma 90.00
loop_
_space_group_symop_operation_xyz
'x,y,z'
'-x,-y,-z'
'-x+1/2,-y+1/2,z+1/2'
'x+1/2,y+1/2,-z+1/2'
'x+1/2,-y+1/2,-z'
'-x+1/2,y+1/2,z'
'-x,y,-z+1/2'
'x,-y,z+1/2'
loop_
_atom_site_label
_atom_site_type_symbol
_atom_site_fract_x
_atom_site_fract_y
_atom_site_fract_z
Cs1 Cs 0.159 0.157 0.000
K1 K 0.000 0.500 0.250
```

***

(7)
CoReCl2: optimized geometry, GGA-PBE.

For the formation energy (no corrections), the calculation gives 0.75 eV/atom. Its energy above the most stable polymorph in this dataset is 661 meV/atom. For the total DFT energy (no corrections), the calculation gives -5.057 eV/atom.

Cell and atoms, written as CIF:
```
data_CoReCl2
_space_group_name_H-M_alt 'I m m 2'
_space_group_IT_number 44
_cell_length_a 2.890
_cell_length_b 4.374
_cell_length_c 11.235
_cell_angle_alpha 90.00
_cell_angle_beta 90.00
_cell_angle_gamma 90.00
loop_
_space_group_symop_operation_xyz
'x,y,z'
'-x,-y,z'
'-x,y,z'
'x,-y,z'
'x+1/2,y+1/2,z+1/2'
'-x+1/2,-y+1/2,z+1/2'
'-x+1/2,y+1/2,z+1/2'
'x+1/2,-y+1/2,z+1/2'
loop_
_atom_site_label
_atom_site_type_symbol
_atom_site_fract_x
_atom_site_fract_y
_atom_site_fract_z
Co1 Co 0.000 0.000 0.000
Re1 Re 0.000 0.500 0.327
Cl1 Cl 0.000 0.000 0.622
Cl2 Cl 0.000 0.500 0.826
```

***

(8)
Li2HgP: optimized geometry, GGA-PBE.

As for the formation enthalpy at 0 K: -0.23 eV/atom. For the total DFT energy (no corrections), the calculation gives -2.613 eV/atom.

Cell and atoms, written as CIF:
```
data_Li2HgP
_space_group_name_H-M_alt 'C 1 m 1'
_space_group_IT_number 8
_cell_length_a 5.563
_cell_length_b 2.970
_cell_length_c 8.710
_cell_angle_alpha 90.00
_cell_angle_beta 102.79
_cell_angle_gamma 90.00
loop_
_space_group_symop_operation_xyz
'x,y,z'
'x,-y,z'
'x+1/2,y+1/2,z'
'x+1/2,-y+1/2,z'
loop_
_atom_site_label
_atom_site_type_symbol
_atom_site_fract_x
_atom_site_fract_y
_atom_site_fract_z
Li1 Li 0.000 0.000 0.000
Li2 Li 0.205 0.000 0.573
Hg1 Hg 0.279 0.500 0.287
P1 P 0.103 0.500 0.787
```

***

(9)
LaAu4Br: optimized geometry, GGA-PBE.

For the formation energy (no corrections), the calculation gives -0.51 eV/atom. For the total DFT energy (no corrections), the calculation gives -3.796 eV/atom.

Cell and atoms, written as CIF:
```
data_LaAu4Br
_space_group_name_H-M_alt 'F -4 3 m'
_space_group_IT_number 216
_space_group_name_Hall 'F -4 2 3'
_cell_length_a 8.099
_cell_length_b 8.099
_cell_length_c 8.099
_cell_angle_alpha 90.00
_cell_angle_beta 90.00
_cell_angle_gamma 90.00
loop_
_atom_site_label
_atom_site_type_symbol
_atom_site_fract_x
_atom_site_fract_y
_atom_site_fract_z
La1 La 0.000 0.000 0.000
Au1 Au 0.125 0.125 0.625
Br1 Br 0.250 0.250 0.250
```

***

(10)
CsSrHI2: optimized geometry, GGA-PBE.

Its energy above the most stable polymorph in this dataset is 1367 meV/atom. For the total DFT energy (no corrections), the calculation gives -1.660 eV/atom.

Cell and atoms, written as CIF:
```
data_CsSrHI2
_space_group_name_H-M_alt 'P 4/m m m'
_space_group_IT_number 123
_space_group_name_Hall '-P 4 2'
_cell_length_a 7.111
_cell_length_b 7.111
_cell_length_c 7.311
_cell_angle_alpha 90.00
_cell_angle_beta 90.00
_cell_angle_gamma 90.00
loop_
_atom_site_label
_atom_site_type_symbol
_atom_site_fract_x
_atom_site_fract_y
_atom_site_fract_z
Cs1 Cs 0.000 0.000 0.000
Sr1 Sr 0.000 0.000 0.500
H1 H 0.500 0.500 0.500
I1 I 0.000 0.500 0.000
```

***

(11)
Dy2Ho12Tm5: optimized geometry, GGA-PBE.

As for the formation enthalpy at 0 K: 0.12 eV/atom. Its energy above the most stable polymorph in this dataset is 0 meV/atom. For the total DFT energy (no corrections), the calculation gives -4.428 eV/atom.

Cell and atoms, written as CIF:
```
data_Dy2Ho12Tm5
_space_group_name_H-M_alt 'P -1'
_space_group_IT_number 2
_cell_length_a 6.072
_cell_length_b 9.840
_cell_length_c 10.754
_cell_angle_alpha 67.06
_cell_angle_beta 84.33
_cell_angle_gamma 88.25
loop_
_space_group_symop_operation_xyz
'x,y,z'
'-x,-y,-z'
loop_
_atom_site_label
_atom_site_type_symbol
_atom_site_fract_x
_atom_site_fract_y
_atom_site_fract_z
Dy1 Dy 0.227 0.448 0.055
Ho1 Ho 0.043 0.150 0.353
Ho2 Ho 0.096 0.827 0.994
Ho3 Ho 0.114 0.164 0.674
Ho4 Ho 0.383 0.676 0.466
Ho5 Ho 0.411 0.692 0.756
Ho6 Ho 0.427 0.319 0.836
Tm1 Tm 0.076 0.495 0.338
Tm2 Tm 0.398 0.017 0.161
Tm3 Tm 0.500 0.000 0.500
```

***

(12)
La2MnCd: optimized geometry, GGA-PBE.

As for the formation enthalpy at 0 K: 0.31 eV/atom. For the total DFT energy (no corrections), the calculation gives -4.678 eV/atom.

Cell and atoms, written as CIF:
```
data_La2MnCd
_space_group_name_H-M_alt 'I -4 2 d'
_space_group_IT_number 122
_space_group_name_Hall 'I -4 2bw'
_cell_length_a 8.371
_cell_length_b 8.371
_cell_length_c 6.293
_cell_angle_alpha 90.00
_cell_angle_beta 90.00
_cell_angle_gamma 90.00
loop_
_atom_site_label
_atom_site_type_symbol
_atom_site_fract_x
_atom_site_fract_y
_atom_site_fract_z
La1 La 0.202 0.250 0.125
Mn1 Mn 0.000 0.000 0.000
Cd1 Cd 0.000 0.000 0.500
```